Nd4PSeBr2 | GGA-PBE | optimized geometry

Cell: 7.406 4.209 7.536 Å, 90.00 108.65 90.00°
Space group P2/m (No. 10)
Inequivalent atoms, fractional coordinates:
Nd (0.222, 0.000, 0.205) [2 per cell]
Nd (0.249, 0.500, 0.793) [2 per cell]
P (0.000, 0.500, 0.000) [1 per cell]
Se (0.500, 0.000, 0.000) [1 per cell]
Br (0.000, 0.000, 0.500) [1 per cell]
Br (0.500, 0.500, 0.500) [1 per cell]

Output
The energy relative to the elements, uncorrected is -1.49 eV per atom. Its density of states at the Fermi level is 4.2 states/eV/cell. The calculated total energy is -5.404 eV per atom.

InTe2Pd2 | GGA-PBE | optimized geometry

Cell: 4.304 4.304 13.686 Å, 90.00 90.00 90.00°
Space group I4/mmm (No. 139)
Inequivalent atoms, fractional coordinates:
In (0.000, 0.000, 0.000) [2 per cell]
Te (0.000, 0.000, 0.368) [4 per cell]
Pd (0.000, 0.500, 0.250) [4 per cell]

Output
The energy relative to the elements, uncorrected is -0.22 eV per atom. Its density of states at the Fermi level is 7.5 states/eV/cell. Its energy relative to the lowest polymorph listed for this composition is 0.000 eV/atom. The calculated total energy is -4.106 eV per atom.

ZrIn6Pd12 | GGA-PBE | optimized geometry

Cell: 11.3463 11.3463 9.3486 Å, 90.00 90.00 120.00°
Space group R-3 (No. 148, hexagonal axes)
Inequivalent atoms, fractional coordinates:
Zr (0.0000, 0.0000, 0.0000) [3 per cell]
In (0.0895, 0.9051, 0.7358) [18 per cell]
Pd (0.0018, 0.7492, 0.0006) [18 per cell]
Pd (0.0688, 0.5368, 0.1191) [18 per cell]

Output
Its density of states at the Fermi level is 32.8 states/eV/cell. The calculated total energy is -4.916 eV per atom.

La2CoCBr | GGA-PBE | optimized geometry

Cell: 5.377 5.377 3.652 Å, 90.00 90.00 90.00°
Space group P4/mmm (No. 123)
Inequivalent atoms, fractional coordinates:
La (0.000, 0.500, 0.000) [2 per cell]
Co (0.000, 0.000, 0.500) [1 per cell]
C (0.000, 0.000, 0.000) [1 per cell]
Br (0.500, 0.500, 0.500) [1 per cell]

Output
The energy relative to the elements, uncorrected is -0.59 eV per atom. Its density of states at the Fermi level is 3.1 states/eV/cell. The calculated total energy is -6.164 eV per atom.

Pm5Pr3Nd | GGA-PBE | optimized geometry

Cell: 18.169 9.582 7.318 Å, 90.00 90.00 90.00°
Space group Cmcm (No. 63)
Inequivalent atoms, fractional coordinates:
Pm (0.000, 0.179, 0.250) [4 per cell]
Pm (0.163, 0.177, 0.000) [16 per cell]
Pr (0.000, 0.500, 0.000) [4 per cell]
Pr (0.184, 0.500, 0.250) [8 per cell]
Nd (0.000, 0.181, 0.750) [4 per cell]

Output
Its density of states at the Fermi level is 57.4 states/eV/cell. Its energy relative to the lowest polymorph listed for this composition is 0.000 eV/atom. The calculated total energy is -4.637 eV per atom.

TbErCd14 | GGA-PBE | optimized geometry

Cell: 6.587 6.587 8.502 Å, 90.00 90.00 90.00°
Space group P4/mmm (No. 123)
Inequivalent atoms, fractional coordinates:
Tb (0.000, 0.000, 0.000) [1 per cell]
Er (0.500, 0.500, 0.000) [1 per cell]
Cd (0.000, 0.000, 0.500) [1 per cell]
Cd (0.000, 0.500, 0.000) [2 per cell]
Cd (0.000, 0.500, 0.500) [2 per cell]
Cd (0.251, 0.251, 0.257) [8 per cell]
Cd (0.500, 0.500, 0.500) [1 per cell]

Output
Its density of states at the Fermi level is 5.4 states/eV/cell. The calculated total energy is -1.509 eV per atom.